No. 1
Compound: MnInCu2Se4
Source: the Alexandria database
Functional: PBE
Structure: optimized geometry

Properties
Its crystal system is tetragonal. For the formation energy without anion corrections, the calculation gives -0.380 eV/atom.

POSCAR file:
```
MnInCu2Se4
1.0
5.765 0.240 0.000
-0.239 5.765 0.000
-2.763 -3.002 5.720
Se In Cu Mn
4 1 2 1
Direct
0.898 0.372 0.271
0.628 0.628 0.730
0.372 0.898 0.271
0.102 0.102 0.730
0.500 0.500 0.000
0.750 0.250 0.500
0.250 0.750 0.500
0.000 0.000 0.000
```

=====

No. 2
Compound: Mn2InCu4Sn
Source: the Alexandria database
Functional: PBE
Structure: optimized geometry

Properties
Its crystal system is trigonal. For the energy of formation from the pure elements, the calculation gives 0.08 eV per atom.

POSCAR file:
```
Mn2InCu4Sn
1.0
-7.398 -0.694 -1.696
-6.830 -2.509 2.268
-7.150 1.858 1.875
Mn Sn Cu In
2 1 4 1
Direct
0.749 0.749 0.749
0.251 0.251 0.251
0.500 0.500 0.500
0.875 0.875 0.875
0.375 0.375 0.375
0.625 0.625 0.625
0.125 0.125 0.125
0.000 0.000 0.000
```

=====

No. 3
Compound: MnInCu2Te
Source: the Alexandria database
Functional: PBE
Structure: optimized geometry

Properties
Its crystal system is tetragonal. For the formation energy without anion corrections, the calculation gives 0.669 eV/atom.

POSCAR file:
```
MnInCu2Te
1.0
-2.740 -2.911 2.815
-1.039 -2.920 -4.032
3.924 -2.747 0.979
In Mn Te Cu
1 1 1 2
Direct
0.500 0.500 0.500
0.000 0.500 0.000
0.000 0.000 0.000
0.500 0.000 0.000
0.000 0.000 0.500
```

=====

No. 4
Compound: MnInCuTe3
Source: the Alexandria database
Functional: PBE
Structure: optimized geometry

Properties
Its crystal system is monoclinic. For the formation energy without anion corrections, the calculation gives -0.207 eV/atom.

POSCAR file:
```
MnInCuTe3
1.0
-6.667 -3.774 0.882
-3.570 -6.060 3.163
-2.984 1.310 5.364
Te Mn Cu In
3 1 1 1
Direct
0.154 0.154 0.595
0.506 0.506 0.217
0.839 0.839 0.938
0.662 0.662 0.337
0.002 0.002 0.010
0.336 0.336 0.653
```

=====

Number 1: raw total energy -4.6349 eV per atom. Number 2: raw total energy -5.1049 eV per atom. Number 3: raw total energy -3.9798 eV per atom. Number 4: raw total energy -4.4454 eV per atom.